! PmCrTeO6, relaxed, DFT GGA+U; values from VASP
&SYSTEM
  ibrav = 0, nat = 18, ntyp = 4
/
ATOMIC_SPECIES
Pm 145.00 Pm.upf
Cr 52.00 Cr.upf
Te 127.60 Te.upf
O 16.00 O.upf
CELL_PARAMETERS angstrom
5.219 0.000 0.000
-2.610 4.520 0.000
0.000 0.000 10.143
ATOMIC_POSITIONS crystal
Pm 0.000 0.000 0.000
Pm 0.000 0.000 0.500
Cr 0.333 0.667 0.250
Cr 0.667 0.333 0.750
Te 0.333 0.667 0.750
Te 0.667 0.333 0.250
O 0.010 0.370 0.642
O 0.010 0.639 0.858
O 0.361 0.370 0.858
O 0.361 0.990 0.642
O 0.370 0.010 0.142
O 0.370 0.361 0.358
O 0.630 0.639 0.642
O 0.630 0.990 0.858
O 0.639 0.010 0.358
O 0.639 0.630 0.142
O 0.990 0.361 0.142
O 0.990 0.630 0.358
! - E: -7.078 eV/atom
! - DOS at the Fermi energy: 0.000 states/eV/f.u.